1.
# PmPrPu2N4

PmPrPu2N4 after structural relaxation (PBE, Alexandria).

Properties
* crystal system: monoclinic
* uncorrected formation energy: -1282 meV/atom

Unit cell a=6.161 b=3.542 c=6.167 alpha=90.00 beta=109.97 gamma=90.00
Space group P2/m (No. 10)
One atom of each set of equivalent atoms:
Pm (0.000, 0.000, 0.000) x1
Pr (0.500, 0.500, 0.000) x1
Pu (0.000, 0.500, 0.500) x1
Pu (0.500, 0.000, 0.500) x1
N (0.231, 0.000, 0.722) x2
N (0.260, 0.500, 0.276) x2


2.
# ErTh2F11

ErTh2F11 after structural relaxation (PBE, Alexandria).

Properties
* crystal system: orthorhombic
* uncorrected formation energy: -4115 meV/atom

Unit cell a=8.580 b=10.578 c=11.018 alpha=90.00 beta=90.00 gamma=90.00
Space group Ibam (No. 72)
One atom of each set of equivalent atoms:
Er (0.000, 0.000, 0.250) x4
Th (0.151, 0.317, 0.000) x8
F (0.000, 0.500, 0.000) x4
F (0.092, 0.169, 0.143) x16
F (0.123, 0.290, 0.500) x8
F (0.208, 0.072, 0.361) x16


3.
# Nd3YEr7

Nd3YEr7 after structural relaxation (PBE, Alexandria).

Properties
* excess energy over the best structure of this formula in the dataset: 149.4 meV/atom
* crystal system: orthorhombic
* ΔE_f: 26.4 kJ per mole of atoms

Unit cell a=5.821 b=11.172 c=11.173 alpha=90.00 beta=90.00 gamma=90.00
Space group Immm (No. 71)
One atom of each set of equivalent atoms:
Nd (0.000, 0.000, 0.000) x2
Nd (0.000, 0.287, 0.500) x4
Y (0.000, 0.500, 0.000) x2
Er (0.000, 0.000, 0.500) x2
Er (0.000, 0.194, 0.209) x8
Er (0.000, 0.500, 0.295) x4


Calculated total magnetization (μB/f.u.), listed in the same order as above: 0.15; 0.00; 0.36
Calculated DOS(E_F) (states/eV/f.u.), listed in the same order as above: 14.52; 0.00; 14.42